Compound: TcHgSe2
Source: the Alexandria database
Functional: PBE-GGA
Structure: optimized geometry

CIF file:
```
data_TcHgSe2
_chemical_formula_sum 'Tc2 Hg2 Se4'
_symmetry_space_group_name_H-M 'C m m m'
_symmetry_Int_Tables_number 65
_symmetry_space_group_name_Hall '-C 2 2'
_cell_length_a 3.138
_cell_length_b 5.113
_cell_length_c 10.773
_cell_angle_alpha 90.00
_cell_angle_beta 90.00
_cell_angle_gamma 90.00
loop_
_atom_site_label
_atom_site_type_symbol
_atom_site_fract_x
_atom_site_fract_y
_atom_site_fract_z
Tc1 Tc 0.000 0.000 0.000
Hg1 Hg 0.000 0.000 0.500
Se1 Se 0.000 0.500 0.187
```

Computed properties:
Crystal system   orthorhombic

Compound: TcHgSe2
Source: the Alexandria database
Functional: PBE-GGA
Structure: optimized geometry

CIF file:
```
data_TcHgSe2
_chemical_formula_sum 'Tc4 Hg4 Se8'
_symmetry_space_group_name_H-M 'F -4 3 m'
_symmetry_Int_Tables_number 216
_symmetry_space_group_name_Hall 'F -4 2 3'
_cell_length_a 6.871
_cell_length_b 6.871
_cell_length_c 6.871
_cell_angle_alpha 90.00
_cell_angle_beta 90.00
_cell_angle_gamma 90.00
loop_
_atom_site_label
_atom_site_type_symbol
_atom_site_fract_x
_atom_site_fract_y
_atom_site_fract_z
Tc1 Tc 0.000 0.000 0.000
Hg1 Hg 0.250 0.250 0.750
Se1 Se 0.000 0.000 0.500
Se2 Se 0.250 0.250 0.250
```

Computed properties:
Crystal system   cubic

Compound: TcHgSe2
Source: the Alexandria database
Functional: PBE-GGA
Structure: optimized geometry

CIF file:
```
data_TcHgSe2
_chemical_formula_sum 'Tc2 Hg2 Se4'
_symmetry_space_group_name_H-M 'C 1 m 1'
_symmetry_Int_Tables_number 8
_cell_length_a 10.803
_cell_length_b 3.144
_cell_length_c 6.464
_cell_angle_alpha 90.00
_cell_angle_beta 117.17
_cell_angle_gamma 90.00
loop_
_symmetry_equiv_pos_as_xyz
'x,y,z'
'x,-y,z'
'x+1/2,y+1/2,z'
'x+1/2,-y+1/2,z'
loop_
_atom_site_label
_atom_site_type_symbol
_atom_site_fract_x
_atom_site_fract_y
_atom_site_fract_z
Tc1 Tc 0.000 0.000 0.000
Hg1 Hg 0.218 0.500 0.990
Se1 Se 0.008 0.500 0.297
Se2 Se 0.345 0.000 0.703
```

Computed properties:
Crystal system   monoclinic

Compound: TcHgSe2
Source: the Alexandria database
Functional: PBE-GGA
Structure: optimized geometry

CIF file:
```
data_TcHgSe2
_chemical_formula_sum 'Tc2 Hg2 Se4'
_symmetry_space_group_name_H-M 'I m m m'
_symmetry_Int_Tables_number 71
_symmetry_space_group_name_Hall '-I 2 2'
_cell_length_a 2.972
_cell_length_b 5.077
_cell_length_c 11.576
_cell_angle_alpha 90.00
_cell_angle_beta 90.00
_cell_angle_gamma 90.00
loop_
_atom_site_label
_atom_site_type_symbol
_atom_site_fract_x
_atom_site_fract_y
_atom_site_fract_z
Tc1 Tc 0.000 0.000 0.000
Hg1 Hg 0.000 0.000 0.500
Se1 Se 0.000 0.500 0.325
```

Computed properties:
Crystal system   orthorhombic

So what do the calculations give for total energy? Going down the list: -33.4 -57.6 -35.1 -34.4 eV/cell.
So what do the calculations give for magnetization? Going down the list: 0.109 0.715 0.000 0.194 μB/atom.
So what do the calculations give for formation energy without anion corrections? Going down the list: 229 807 19 103 meV/atom.